No. 1
Material: ErMgBr
Method: DFT, PBE
State: relaxed

Cell lengths 15.6321, 3.5841, 6.1899 Å; angles 90.00, 90.00, 90.00 degrees
Space group Amm2 (No. 38)
Unique sites:
Er  0.1690  0.0000  0.0000 x4
Mg  0.0000  0.0000  0.3367 x2
Mg  0.5000  0.0000  0.3247 x2
Br  0.3000  0.0000  0.3330 x4

Values from the calculation:
ρ	5.199	g cm⁻³
ΔE_f (raw)	-0.608	eV per atom

---

No. 2
Material: HgAsPb
Method: DFT, PBE
State: relaxed

Cell lengths 3.5378, 3.5378, 8.4232 Å; angles 90.00, 90.00, 120.00 degrees
Space group P3m1 (No. 156)
Unique sites:
Hg  0.0000  0.0000  0.0000 x1
As  0.6667  0.3333  0.6450 x1
Pb  0.3333  0.6667  0.3985 x1

Values from the calculation:
ρ	8.779	g cm⁻³
relative energy among the computed polymorphs	0.186	eV/atom
ΔE_f	23	kJ per mole of atoms

---

No. 3
Material: KLi2NiGe
Method: DFT, PBE
State: relaxed

Cell lengths 4.9804, 4.9804, 4.4661 Å; angles 90.00, 90.00, 90.00 degrees
Space group P4/mmm (No. 123)
Unique sites:
K  0.0000  0.0000  0.0000 x1
Li  0.0000  0.5000  0.5000 x2
Ni  0.5000  0.5000  0.5000 x1
Ge  0.5000  0.5000  0.0000 x1

Values from the calculation:
ρ	2.763	g cm⁻³
ΔE_f	-9	kJ per mole of atoms

---

No. 4
Material: CeHoTmCd
Method: DFT, PBE
State: relaxed

Cell lengths 7.6682, 7.6682, 7.6682 Å; angles 90.00, 90.00, 90.00 degrees
Space group F-43m (No. 216)
Unique sites:
Ce  0.0000  0.0000  0.0000 x4
Ho  0.0000  0.0000  0.5000 x4
Tm  0.2500  0.2500  0.7500 x4
Cd  0.2500  0.2500  0.2500 x4

Values from the calculation:
ρ	8.638	g cm⁻³
ΔE_f	1	kJ per mole of atoms

---

No. 5
Material: Mn2AuSe
Method: DFT, PBE
State: relaxed

Cell lengths 3.8233, 3.8233, 9.5381 Å; angles 90.00, 90.00, 90.00 degrees
Space group I-4m2 (No. 119)
Unique sites:
Mn  0.0000  0.0000  0.0000 x2
Mn  0.0000  0.5000  0.2500 x2
Au  0.0000  0.0000  0.5000 x2
Se  0.0000  0.5000  0.7500 x2

Values from the calculation:
ρ	9.190	g cm⁻³
ΔE_f (raw)	0.135	eV per atom

---

No. 6
Material: TbPmNd2Ho5
Method: DFT, PBE
State: relaxed

Cell lengths 8.6954, 8.6954, 15.5479 Å; angles 90.00, 90.00, 90.00 degrees
Space group I4/mcm (No. 140)
Unique sites:
Tb  0.0000  0.5000  0.2500 x4
Pm  0.0000  0.0000  0.2500 x4
Nd  0.1172  0.3828  0.0000 x8
Ho  0.0000  0.0000  0.0000 x4
Ho  0.2105  0.2895  0.3616 x16

Values from the calculation:
ρ	8.007	g cm⁻³
ΔE_f	25	kJ per mole of atoms

---

No. 7
Material: Sc2V2Fe15
Method: DFT, PBE
State: relaxed

Cell lengths 8.2132, 8.2132, 12.4246 Å; angles 90.00, 90.00, 120.00 degrees
Space group R-3m (No. 166, hexagonal axes)
Unique sites:
Sc  0.0000  0.0000  0.1554 x6
V  0.0000  0.0000  0.4039 x6
Fe  0.0000  0.3120  0.5000 x18
Fe  0.0000  0.5000  0.0000 x9
Fe  0.0022  0.5011  0.6590 x18

Values from the calculation:
ρ	7.066	g cm⁻³
ΔE_f	-6	kJ per mole of atoms

---

No. 8
Material: BaMnRh
Method: DFT, PBE
State: relaxed

Cell lengths 5.5358, 5.5358, 8.8481 Å; angles 90.00, 90.00, 120.00 degrees
Space group P6_3/mmc (No. 194)
Unique sites:
Ba  0.3333  0.6667  0.2500 x2
Mn  0.0000  0.0000  0.2500 x2
Rh  0.0000  0.0000  0.0000 x2

Values from the calculation:
ρ	4.175	g cm⁻³
ΔE_f	90	kJ per mole of atoms

---

No. 9
Material: Hf2AgC
Method: DFT, PBE
State: relaxed

Cell lengths 3.2649, 3.2649, 21.9970 Å; angles 90.00, 90.00, 120.00 degrees
Space group R-3m (No. 166, hexagonal axes)
Unique sites:
Hf  0.0000  0.0000  0.2244 x6
Ag  0.0000  0.0000  0.0000 x3
C  0.0000  0.0000  0.5000 x3

Values from the calculation:
ρ	11.698	g cm⁻³
ΔE_f	-47	kJ per mole of atoms

---

No. 10
Material: SrUTi2O8
Method: DFT, PBE
State: relaxed

Cell lengths 7.8686, 6.4013, 7.3172 Å; angles 90.00, 101.18, 90.00 degrees
Space group C2/m (No. 12)
Unique sites:
Sr  0.0000  0.0000  0.0000 x2
U  0.0000  0.0000  0.5000 x2
Ti  0.0499  0.5000  0.2047 x4
O  0.0036  0.2288  0.2783 x8
O  0.1614  0.5000  0.0086 x4
O  0.2495  0.0000  0.5731 x4

Values from the calculation:
ρ	5.046	g cm⁻³
ΔE_f (raw)	-3.048	eV per atom

---

No. 11
Material: Ce3CdAu2
Method: DFT, PBE
State: relaxed

Cell lengths 3.8146, 3.8146, 10.7424 Å; angles 90.00, 90.00, 90.00 degrees
Space group P4/mmm (No. 123)
Unique sites:
Ce  0.0000  0.0000  0.0000 x1
Ce  0.0000  0.0000  0.3154 x2
Cd  0.5000  0.5000  0.5000 x1
Au  0.5000  0.5000  0.1669 x2

Values from the calculation:
ρ	9.844	g cm⁻³
relative energy among the computed polymorphs	0.000	eV/atom
ΔE_f	-42	kJ per mole of atoms

---

No. 12
Material: Cs3PaTe6
Method: DFT, PBE
State: relaxed

Cell lengths 19.1527, 19.1527, 4.8306 Å; angles 90.00, 90.00, 120.00 degrees
Space group R3m (No. 160, hexagonal axes)
Unique sites:
Cs  0.1838  0.3676  0.0000 x9
Pa  0.0000  0.0000  0.3716 x3
Te  0.0906  0.1811  0.4107 x9
Te  0.1284  0.0642  0.8714 x9

Values from the calculation:
ρ	4.530	g cm⁻³
relative energy among the computed polymorphs	0.000	eV/atom
ΔE_f (raw)	-0.691	eV per atom

---

No. 13
Material: HfSc3Co4
Method: DFT, PBE
State: relaxed

Cell lengths 3.1356, 4.4258, 8.8614 Å; angles 90.00, 90.00, 90.00 degrees
Space group Pmmm (No. 47)
Unique sites:
Hf  0.0000  0.0000  0.0000 x1
Sc  0.0000  0.0000  0.5000 x1
Sc  0.0000  0.5000  0.2534 x2
Co  0.5000  0.0000  0.2431 x2
Co  0.5000  0.5000  0.0000 x1
Co  0.5000  0.5000  0.5000 x1

Values from the calculation:
ρ	7.414	g cm⁻³
ΔE_f	-38	kJ per mole of atoms

---

No. 14
Material: Ba2IrAu
Method: DFT, PBE
State: relaxed

Cell lengths 4.6501, 4.6501, 10.6503 Å; angles 90.00, 90.00, 90.00 degrees
Space group I-4m2 (No. 119)
Unique sites:
Ba  0.0000  0.0000  0.0000 x2
Ba  0.0000  0.5000  0.2500 x2
Ir  0.0000  0.5000  0.7500 x2
Au  0.0000  0.0000  0.5000 x2

Values from the calculation:
ρ	9.573	g cm⁻³
relative energy among the computed polymorphs	0.263	eV/atom
ΔE_f	-4	kJ per mole of atoms

---

No. 15
Material: Ce2Ti2Ni15
Method: DFT, PBE
State: relaxed

Cell lengths 8.3255, 8.3255, 12.4228 Å; angles 90.00, 90.00, 120.00 degrees
Space group R-3m (No. 166, hexagonal axes)
Unique sites:
Ce  0.0000  0.0000  0.1523 x6
Ti  0.0000  0.0000  0.3995 x6
Ni  0.0000  0.3027  0.5000 x18
Ni  0.0000  0.5000  0.0000 x9
Ni  0.0003  0.5002  0.3435 x18

Values from the calculation:
ρ	8.393	g cm⁻³
ΔE_f	-30	kJ per mole of atoms

---

No. 16
Material: YSc3Co8
Method: DFT, PBE
State: relaxed

Cell lengths 4.9280, 4.9280, 24.1909 Å; angles 90.00, 90.00, 120.00 degrees
Space group R3m (No. 160, hexagonal axes)
Unique sites:
Y  0.0000  0.0000  0.0000 x3
Sc  0.0000  0.0000  0.3775 x3
Sc  0.0000  0.0000  0.5005 x3
Sc  0.0000  0.0000  0.8734 x3
Co  0.0000  0.0000  0.1874 x3
Co  0.0000  0.0000  0.6882 x3
Co  0.0034  0.5017  0.4393 x9
Co  0.1677  0.3353  0.2690 x9

Values from the calculation:
ρ	6.807	g cm⁻³
ΔE_f	-29	kJ per mole of atoms